Entry 1:
{"formula": "MnCd2Pt", "functional": "PBE", "state": "relaxed", "cell": [[4.832, -1.504, 0.000], [4.832, 1.504, 0.000], [-0.905, 0.000, 4.878]], "species": ["Mn", "Cd", "Cd", "Pt"], "frac_coords": [[0.000, 0.000, 0.000], [0.248, 0.248, 0.748], [0.752, 0.752, 0.252], [0.500, 0.500, 0.500]], "spacegroup": "No. 12", "e_form_ev_per_atom": -0.042}


Entry 2:
{"formula": "MgAuCl2", "functional": "PBE", "state": "relaxed", "cell": [[-1.631, 2.344, 6.294], [1.631, -2.344, 6.294], [1.631, 2.344, -6.294]], "species": ["Mg", "Au", "Cl", "Cl"], "frac_coords": [[0.000, 0.000, 0.000], [0.183, 0.683, 0.500], [0.553, 0.553, 0.000], [0.860, 0.360, 0.500]], "spacegroup": "No. 44", "raw_formation_energy_ev_per_atom": -0.69}


Entry 3:
{"formula": "AcNdZnGe", "functional": "PBE", "state": "relaxed", "cell": [[4.242, 0.000, 0.000], [0.000, 2.218, 5.930], [0.000, -2.218, 5.930]], "species": ["Ac", "Nd", "Zn", "Ge"], "frac_coords": [[0.000, 0.000, 0.000], [0.500, 0.286, 0.286], [0.500, 0.588, 0.588], [0.000, 0.723, 0.723]], "spacegroup": "No. 38", "e_form_ev_per_atom": -0.540}


Entry 4:
{"formula": "AcLa2Sm2", "functional": "PBE", "state": "relaxed", "cell": [[4.884, -4.256, 0.000], [4.884, 4.256, 0.000], [-3.527, 0.000, 9.003]], "species": ["Ac", "Ac", "La", "La", "La", "La", "Sm", "Sm", "Sm", "Sm"], "frac_coords": [[0.219, 0.781, 0.750], [0.781, 0.219, 0.250], [0.080, 0.709, 0.349], [0.291, 0.920, 0.151], [0.709, 0.080, 0.849], [0.920, 0.291, 0.651], [0.262, 0.380, 0.020], [0.380, 0.262, 0.520], [0.620, 0.738, 0.480], [0.738, 0.620, 0.980]], "spacegroup": "No. 15", "e_form_ev_per_atom": 0.116}


Entry 5:
{"formula": "Hf12Al6Os", "functional": "PBE", "state": "relaxed", "cell": [[5.065, 2.924, 4.216], [-5.065, 2.924, 4.216], [0.000, -5.848, 4.216]], "species": ["Hf", "Hf", "Hf", "Hf", "Hf", "Hf", "Hf", "Hf", "Hf", "Hf", "Hf", "Hf", "Al", "Al", "Al", "Al", "Al", "Al", "Os"], "frac_coords": [[0.019, 0.307, 0.933], [0.067, 0.981, 0.693], [0.128, 0.353, 0.461], [0.307, 0.933, 0.019], [0.353, 0.461, 0.128], [0.461, 0.128, 0.353], [0.539, 0.872, 0.647], [0.647, 0.539, 0.872], [0.693, 0.067, 0.981], [0.872, 0.647, 0.539], [0.933, 0.019, 0.307], [0.981, 0.693, 0.067], [0.241, 0.755, 0.388], [0.245, 0.612, 0.759], [0.388, 0.241, 0.755], [0.612, 0.759, 0.245], [0.755, 0.388, 0.241], [0.759, 0.245, 0.612], [0.500, 0.500, 0.500]], "spacegroup": "No. 148", "e_form_ev_per_atom": -0.208}


Entry 6:
{"formula": "PmGd2S", "functional": "PBE", "state": "relaxed", "cell": [[1.851, 1.069, 10.222], [-1.851, 1.069, 10.222], [0.000, -2.138, 10.222]], "species": ["Pm", "Gd", "Gd", "S"], "frac_coords": [[0.000, 0.000, 0.000], [0.112, 0.112, 0.112], [0.888, 0.888, 0.888], [0.500, 0.500, 0.500]], "spacegroup": "No. 166", "raw_formation_energy_ev_per_atom": -0.77}


One value per record, in order, for volume: 70.9, 96.2, 111.6, 374.2, 374.7, 121.4 Å³/cell.
One value per record, in order, for uncorrected energy: -4.302, -2.834, -4.231, -4.564, -8.268, -10.030 eV/atom.
One value per record, in order, for M_tot: 1.0302, 0.0000, 0.0000, 0.0000, 0.0000, 3.7797 μB/atom.